Li2CaRe: optimized geometry, PBE.

- Offset from the most stable computed form: 104 meV/atom
- Symmetry: No. 8
- Size of the total moment: 0.000 Bohr magnetons per cell
- Calculated formation energy: 0.577 eV per atom

abc: 5.118 5.118 5.496
angles: 99.22 99.22 30.48
Positions (direct):
Li  0.000  0.000  0.000
Li  0.739  0.739  0.254
Ca  0.503  0.503  0.534
Re  0.258  0.258  0.797